Compound: LaZnTc2O8
Source: Alexandria via LeMat-Bulk
Functional: PBE-GGA
Structure: optimized geometry

Cell lengths 5.2244, 5.2244, 6.8282 Å; angles 112.49, 112.49, 90.00 degrees
Atoms (fractional coordinates):
O1 0.1612 0.5685 0.8293
O2 0.0814 0.0037 0.6559
O3 0.4315 0.3319 0.1707
O4 0.9963 0.4255 0.3441
O5 0.5745 0.6523 0.6559
O6 0.7392 0.8388 0.1707
O7 0.6681 0.2608 0.8293
O8 0.3477 0.9186 0.3441
La1 0.0000 0.0000 0.0000
Tc1 0.5000 0.5000 0.0000
Tc2 0.2500 0.7500 0.5000
Zn1 0.7500 0.2500 0.5000

Summary:
Its crystal system is tetragonal. The calculation puts the energy relative to the elements, uncorrected at -1.71 eV per atom. The energy is -87.1 eV per cell. Its space-group type is No. 82.


Compound: CdIrS3
Source: Alexandria via LeMat-Bulk
Functional: PBE-GGA
Structure: optimized geometry

Cell lengths 4.6944, 4.6944, 4.6944 Å; angles 90.00, 90.00, 90.00 degrees
Atoms (fractional coordinates):
S1 0.5000 0.0000 0.0000
S2 0.0000 0.5000 0.0000
S3 0.0000 0.0000 0.5000
Cd1 0.5000 0.5000 0.5000
Ir1 0.0000 0.0000 0.0000

Summary:
The calculation puts the energy above the most stable polymorph in this dataset at 0.000 eV/atom. Its crystal system is cubic. The calculation puts the energy relative to the elements, uncorrected at 0.40 eV per atom. The energy is -20.2 eV per cell. Its space-group type is No. 221.


Compound: La2PrYTm5
Source: Alexandria via LeMat-Bulk
Functional: PBE-GGA
Structure: optimized geometry

Cell lengths 8.6891, 8.6891, 9.9288 Å; angles 115.95, 115.95, 90.00 degrees
Atoms (fractional coordinates):
Tm1 0.1448 0.0749 0.7196
Tm2 0.0000 0.0000 0.0000
Tm3 0.6448 0.1448 0.7196
Tm4 0.5749 0.6448 0.7196
Tm5 0.4251 0.3552 0.2804
Tm6 0.0749 0.5749 0.7196
Tm7 0.5000 0.5000 0.0000
Tm8 0.3552 0.8552 0.2804
Tm9 0.9251 0.4251 0.2804
Tm10 0.8552 0.9251 0.2804
Y1 0.7500 0.2500 0.5000
Y2 0.2500 0.7500 0.5000
La1 0.8832 0.6168 0.0000
La2 0.6168 0.1168 0.0000
La3 0.1168 0.3832 0.0000
La4 0.3832 0.8832 0.0000
Pr1 0.7500 0.7500 0.5000
Pr2 0.2500 0.2500 0.5000

Summary:
Its crystal system is tetragonal. The calculation puts the formation energy from the elements at 0.25 eV/atom. The energy is -82.4 eV per cell. Its space-group type is No. 140.


Compound: TmZnCo
Source: Alexandria via LeMat-Bulk
Functional: PBE-GGA
Structure: optimized geometry

Cell lengths 3.8838, 6.8827, 11.6455 Å; angles 90.00, 90.00, 90.00 degrees
Atoms (fractional coordinates):
Zn1 0.5000 0.5770 0.8680
Zn2 0.5000 0.5770 0.6320
Zn3 0.5000 0.4230 0.1320
Zn4 0.5000 0.4230 0.3680
Zn5 0.5000 0.7901 0.2500
Zn6 0.5000 0.2099 0.7500
Tm1 0.0000 0.2458 0.9555
Tm2 0.0000 0.1398 0.2500
Tm3 0.0000 0.8602 0.7500
Tm4 0.0000 0.7542 0.0445
Tm5 0.0000 0.7542 0.4555
Tm6 0.0000 0.2458 0.5445
Co1 0.0000 0.5510 0.2500
Co2 0.5000 0.9508 0.5911
Co3 0.5000 0.9508 0.9089
Co4 0.5000 0.0492 0.0911
Co5 0.0000 0.4490 0.7500
Co6 0.5000 0.0492 0.4089

Summary:
Its crystal system is orthorhombic. The calculation puts the formation energy from the elements at -0.30 eV/atom. The energy is -82.6 eV per cell. Its space-group type is No. 51.